This record from Alexandria via LeMat-Bulk describes an optimized crystal structure of ScFe2SbC. The functional is GGA-PBE.

POSCAR file:
```
ScFe2SbC
1.0
3.994 0.000 0.000
0.000 3.994 0.000
0.000 0.000 4.501
Sc Fe Sb C
1 2 1 1
Direct
0.000 0.000 0.000 Sc
0.000 0.500 0.500 Fe
0.500 0.000 0.500 Fe
0.500 0.500 0.000 Sb
0.000 0.000 0.500 C
```

Summary:
Crystal system: tetragonal
Symmetry: P4/mmm

=====

This record from Alexandria via LeMat-Bulk describes an optimized crystal structure of Fe2SnSbC. The functional is GGA-PBE.

POSCAR file:
```
Fe2SnSbC
1.0
4.926 0.000 0.000
0.000 4.926 0.000
0.000 0.000 4.159
Fe Sn Sb C
2 1 1 1
Direct
0.000 0.500 0.000 Fe
0.500 0.000 0.000 Fe
0.000 0.000 0.000 Sn
0.500 0.500 0.500 Sb
0.000 0.000 0.500 C
```

Summary:
Crystal system: tetragonal
Symmetry: P4/mmm

=====

This record from Alexandria via LeMat-Bulk describes an optimized crystal structure of Sr2FeSbC. The functional is GGA-PBE.

POSCAR file:
```
Sr2FeSbC
1.0
6.346 0.000 0.000
0.000 6.346 0.000
0.000 0.000 4.218
Sr Fe Sb C
2 1 1 1
Direct
0.000 0.500 0.000 Sr
0.500 0.000 0.000 Sr
0.000 0.000 0.500 Fe
0.500 0.500 0.000 Sb
0.500 0.500 0.500 C
```

Summary:
Crystal system: tetragonal
Symmetry: P4/mmm

=====

This record from Alexandria via LeMat-Bulk describes an optimized crystal structure of FeTc2SbC. The functional is GGA-PBE.

POSCAR file:
```
FeTc2SbC
1.0
4.172 0.000 0.000
0.000 4.172 0.000
0.000 0.000 3.823
Fe Tc Sb C
1 2 1 1
Direct
0.000 0.000 0.000 Fe
0.000 0.500 0.500 Tc
0.500 0.000 0.500 Tc
0.500 0.500 0.000 Sb
0.000 0.000 0.500 C
```

Summary:
Crystal system: tetragonal
Symmetry: P4/mmm

=====

This record from Alexandria via LeMat-Bulk describes an optimized crystal structure of FeSbTe2C. The functional is GGA-PBE.

POSCAR file:
```
FeSbTe2C
1.0
4.650 0.000 0.000
0.000 4.650 0.000
0.000 0.000 4.607
Fe Sb Te C
1 1 2 1
Direct
0.000 0.000 0.000 Fe
0.500 0.500 0.000 Sb
0.000 0.500 0.500 Te
0.500 0.000 0.500 Te
0.500 0.500 0.500 C
```

Summary:
Energy above the lowest structure with this stoichiometry: 0.00 eV per formula unit
Crystal system: tetragonal
Symmetry: P4/mmm

=====

This record from Alexandria via LeMat-Bulk describes an optimized crystal structure of FeSbTe2C. The functional is GGA-PBE.

POSCAR file:
```
FeSbTe2C
1.0
5.035 0.000 0.000
0.000 5.035 0.000
0.000 0.000 4.886
Fe Sb Te C
1 1 2 1
Direct
0.000 0.000 0.000 Fe
0.000 0.000 0.500 Sb
0.000 0.500 0.000 Te
0.500 0.000 0.000 Te
0.500 0.500 0.500 C
```

Summary:
Energy above the lowest structure with this stoichiometry: 1.14 eV per formula unit
Crystal system: tetragonal
Symmetry: P4/mmm

=====

This record from Alexandria via LeMat-Bulk describes an optimized crystal structure of TiFeSbC2. The functional is GGA-PBE.

POSCAR file:
```
TiFeSbC2
1.0
3.945 0.000 0.000
0.000 3.945 0.000
0.000 0.000 5.522
Ti Fe Sb C
1 1 1 2
Direct
0.000 0.000 0.000 Ti
0.500 0.500 0.500 Fe
0.000 0.000 0.500 Sb
0.000 0.500 0.000 C
0.500 0.000 0.000 C
```

Summary:
Crystal system: tetragonal
Symmetry: P4/mmm

=====

This record from Alexandria via LeMat-Bulk describes an optimized crystal structure of Y2FeSbC. The functional is GGA-PBE.

POSCAR file:
```
Y2FeSbC
1.0
5.037 0.000 0.000
0.000 5.037 0.000
0.000 0.000 3.894
Y Fe Sb C
2 1 1 1
Direct
0.000 0.500 0.000 Y
0.500 0.000 0.000 Y
0.000 0.000 0.500 Fe
0.500 0.500 0.500 Sb
0.000 0.000 0.000 C
```

Summary:
Crystal system: tetragonal
Symmetry: P4/mmm

=====

This record from Alexandria via LeMat-Bulk describes an optimized crystal structure of Sc2FeC2. The functional is GGA-PBE.

POSCAR file:
```
Sc2FeC2
1.0
5.080 -1.632 0.000
5.080 1.632 0.000
-3.816 0.000 7.087
Sc Fe C
4 2 4
Direct
0.014 0.014 0.181 Sc
0.168 0.168 0.598 Sc
0.832 0.832 0.402 Sc
0.986 0.986 0.819 Sc
0.274 0.274 0.124 Fe
0.726 0.726 0.876 Fe
0.339 0.339 0.924 C
0.491 0.491 0.396 C
0.509 0.509 0.604 C
0.661 0.661 0.076 C
```

Summary:
Energy above the lowest structure with this stoichiometry: 0.56 eV per formula unit
Crystal system: monoclinic
Symmetry: C2/m
Energy relative to the elements: -280 meV per atom

=====

This record from Alexandria via LeMat-Bulk describes an optimized crystal structure of ScFeC. The functional is GGA-PBE.

POSCAR file:
```
ScFeC
1.0
3.322 0.000 0.000
-1.661 2.877 0.000
0.000 0.000 3.744
Sc Fe C
1 1 1
Direct
0.000 0.000 0.000 Sc
0.667 0.333 0.500 Fe
0.333 0.667 0.500 C
```

Summary:
Energy above the lowest structure with this stoichiometry: 0.48 eV per formula unit
Crystal system: hexagonal
Symmetry: P-6m2
Energy relative to the elements: -150 meV per atom

=====

This record from Alexandria via LeMat-Bulk describes an optimized crystal structure of ScFe22C6. The functional is GGA-PBE.

POSCAR file:
```
ScFe22C6
1.0
0.000 5.269 5.269
5.269 0.000 5.269
5.269 5.269 0.000
Sc Fe C
1 22 6
Direct
0.000 0.000 0.000 Sc
0.000 0.000 0.346 Fe
0.000 0.000 0.654 Fe
0.000 0.346 0.000 Fe
0.000 0.346 0.654 Fe
0.000 0.654 0.000 Fe
0.000 0.654 0.346 Fe
0.153 0.616 0.616 Fe
0.250 0.250 0.250 Fe
0.346 0.000 0.000 Fe
0.346 0.000 0.654 Fe
0.346 0.654 0.000 Fe
0.384 0.384 0.384 Fe
0.384 0.384 0.847 Fe
0.384 0.847 0.384 Fe
0.616 0.153 0.616 Fe
0.616 0.616 0.153 Fe
0.616 0.616 0.616 Fe
0.654 0.000 0.000 Fe
0.654 0.000 0.346 Fe
0.654 0.346 0.000 Fe
0.750 0.750 0.750 Fe
0.847 0.384 0.384 Fe
0.272 0.272 0.728 C
0.272 0.728 0.272 C
0.272 0.728 0.728 C
0.728 0.272 0.272 C
0.728 0.272 0.728 C
0.728 0.728 0.272 C
```

Summary:
Crystal system: cubic
Symmetry: Fm-3m
Energy relative to the elements: 42 meV per atom

=====

This record from Alexandria via LeMat-Bulk describes an optimized crystal structure of ScFe4C2. The functional is GGA-PBE.

POSCAR file:
```
ScFe4C2
1.0
1.709 -5.824 0.000
1.709 5.824 0.000
0.000 0.000 3.384
Sc Fe C
1 4 2
Direct
0.000 0.000 0.000 Sc
0.177 0.823 0.500 Fe
0.321 0.679 0.000 Fe
0.679 0.321 0.000 Fe
0.823 0.177 0.500 Fe
0.433 0.567 0.500 C
0.567 0.433 0.500 C
```

Summary:
Energy above the lowest structure with this stoichiometry: 0.00 eV per formula unit
Crystal system: orthorhombic
Symmetry: Cmmm
Energy relative to the elements: -68 meV per atom

=====

This record from Alexandria via LeMat-Bulk describes an optimized crystal structure of ScFeC. The functional is GGA-PBE.

POSCAR file:
```
ScFeC
1.0
3.148 0.000 0.000
0.000 3.649 0.000
0.000 0.000 7.510
Sc Fe C
2 2 2
Direct
0.250 0.250 0.177 Sc
0.750 0.750 0.823 Sc
0.250 0.250 0.536 Fe
0.750 0.750 0.464 Fe
0.250 0.750 0.615 C
0.750 0.250 0.385 C
```

Summary:
Energy above the lowest structure with this stoichiometry: 0.46 eV per formula unit
Crystal system: orthorhombic
Symmetry: Pmmn
Energy relative to the elements: -158 meV per atom

=====

This record from Alexandria via LeMat-Bulk describes an optimized crystal structure of ScFe2C. The functional is GGA-PBE.

POSCAR file:
```
ScFe2C
1.0
-3.221 3.221 2.330
3.221 -3.221 2.330
3.221 3.221 -2.330
Sc Fe C
2 4 2
Direct
0.000 0.000 0.000 Sc
0.750 0.250 0.500 Sc
0.250 0.625 0.125 Fe
0.375 0.500 0.625 Fe
0.500 0.125 0.875 Fe
0.875 0.750 0.375 Fe
0.250 0.750 0.500 C
0.500 0.500 0.000 C
```

Summary:
Crystal system: tetragonal
Symmetry: I-42d
Energy relative to the elements: 5 meV per atom

=====

This record from Alexandria via LeMat-Bulk describes an optimized crystal structure of Sc2FeC2. The functional is GGA-PBE.

POSCAR file:
```
Sc2FeC2
1.0
5.663 0.000 0.000
0.000 5.663 0.000
0.000 0.000 3.396
Sc Fe C
4 2 4
Direct
0.184 0.316 0.000 Sc
0.316 0.816 0.000 Sc
0.684 0.184 0.000 Sc
0.816 0.684 0.000 Sc
0.000 0.000 0.500 Fe
0.500 0.500 0.500 Fe
0.100 0.600 0.500 C
0.400 0.100 0.500 C
0.600 0.900 0.500 C
0.900 0.400 0.500 C
```

Summary:
Energy above the lowest structure with this stoichiometry: 0.53 eV per formula unit
Crystal system: tetragonal
Symmetry: P4/mbm
Energy relative to the elements: -287 meV per atom

=====

This record from Alexandria via LeMat-Bulk describes an optimized crystal structure of ScFeC3. The functional is GGA-PBE.

POSCAR file:
```
ScFeC3
1.0
3.738 0.000 0.000
0.000 3.738 0.000
0.000 0.000 3.738
Sc Fe C
1 1 3
Direct
0.000 0.000 0.000 Sc
0.500 0.500 0.500 Fe
0.000 0.500 0.500 C
0.500 0.000 0.500 C
0.500 0.500 0.000 C
```

Summary:
Energy above the lowest structure with this stoichiometry: 0.00 eV per formula unit
Crystal system: cubic
Symmetry: Pm-3m
Energy relative to the elements: 1181 meV per atom

=====

This record from Alexandria via LeMat-Bulk describes an optimized crystal structure of ScFeC. The functional is GGA-PBE.

POSCAR file:
```
ScFeC
1.0
3.029 -3.982 0.000
3.029 3.982 0.000
0.000 0.000 3.081
Sc Fe C
2 2 2
Direct
0.204 0.796 0.000 Sc
0.796 0.204 0.000 Sc
0.306 0.306 0.500 Fe
0.694 0.694 0.500 Fe
0.000 0.000 0.500 C
0.500 0.500 0.000 C
```

Summary:
Energy above the lowest structure with this stoichiometry: 0.00 eV per formula unit
Crystal system: orthorhombic
Symmetry: Cmmm
Energy relative to the elements: -310 meV per atom

=====

This record from Alexandria via LeMat-Bulk describes an optimized crystal structure of ScFeC3. The functional is GGA-PBE.

POSCAR file:
```
ScFeC3
1.0
4.087 0.000 0.000
0.000 4.087 0.000
0.000 0.000 4.087
Sc Fe C
1 1 3
Direct
0.000 0.000 0.000 Sc
0.500 0.500 0.500 Fe
0.000 0.000 0.500 C
0.000 0.500 0.000 C
0.500 0.000 0.000 C
```

Summary:
Energy above the lowest structure with this stoichiometry: 8.58 eV per formula unit
Crystal system: cubic
Symmetry: Pm-3m
Energy relative to the elements: 2898 meV per atom

=====

This record from Alexandria via LeMat-Bulk describes an optimized crystal structure of ScFe3C2. The functional is GGA-PBE.

POSCAR file:
```
ScFe3C2
1.0
2.916 0.000 0.000
0.000 3.083 3.627
0.000 -3.083 3.627
Sc Fe C
1 3 2
Direct
0.000 0.000 0.000 Sc
0.000 0.414 0.414 Fe
0.500 0.511 0.909 Fe
0.500 0.909 0.511 Fe
0.000 0.682 0.682 C
0.500 0.243 0.243 C
```

Summary:
Crystal system: orthorhombic
Symmetry: Amm2
Energy relative to the elements: -115 meV per atom

=====

This record from Alexandria via LeMat-Bulk describes an optimized crystal structure of ScFeC. The functional is GGA-PBE.

POSCAR file:
```
ScFeC
1.0
4.432 -1.559 0.000
4.432 1.559 0.000
-3.187 0.000 4.989
Sc Fe C
2 2 2
Direct
0.072 0.072 0.341 Sc
0.928 0.928 0.659 Sc
0.315 0.315 0.917 Fe
0.685 0.685 0.083 Fe
0.316 0.316 0.267 C
0.684 0.684 0.733 C
```

Summary:
Energy above the lowest structure with this stoichiometry: 0.11 eV per formula unit
Crystal system: monoclinic
Symmetry: C2/m
Energy relative to the elements: -274 meV per atom

=====

| no. | DFT total energy (eV/atom) | total moment (μB per formula unit) |
| --- | --- | --- |
| 1 | -7.4384 | 4.699 |
| 2 | -5.0733 | 4.997 |
| 3 | -3.8309 | 2.895 |
| 4 | -8.3433 | 0.776 |
| 5 | -4.1754 | 0.000 |
| 6 | -3.9470 | 3.061 |
| 7 | -5.9219 | 0.107 |
| 8 | -7.4293 | 2.404 |
| 9 | -8.1946 | 0.000 |
| 10 | -8.1557 | 0.000 |
| 11 | -8.5050 | 44.747 |
| 12 | -8.4440 | 0.320 |
| 13 | -8.1640 | 0.000 |
| 14 | -8.1152 | 1.002 |
| 15 | -8.2013 | 0.169 |
| 16 | -7.3117 | 0.000 |
| 17 | -8.3159 | 0.000 |
| 18 | -5.5950 | 0.048 |
| 19 | -8.4759 | 2.653 |
| 20 | -8.2796 | 0.350 |